Computed, not measured: an optimized crystal structure of CdTcP2Cl at the PBE-GGA level of DFT.

```
5
Lattice="4.560 0.000 0.000 0.000 4.560 0.000 0.000 0.000 5.229" Properties=species:S:1:pos:R:3 pbc="T T T"
Cd 2.280 2.280 2.615
P 2.280 0.000 0.000
Tc 0.000 0.000 0.000
Cl 0.000 0.000 2.615
P 0.000 2.280 0.000
```

Computed properties:
- Total energy: -0.3365 Ry/atom
- ρ: 4.700 g/cm3
- Energy above the most stable polymorph in this dataset: 0.000 eV per atom
- Density of states at the Fermi level: 2.49 states/eV/f.u.